VASP calculation (PBE-GGA) on a relaxed CrCu2Si crystal.

Values from the calculation:
Magnetization (μB per cell): 0.27
E_tot (eV for the cell shown): -22.3
Formation energy (no corrections) (eV/f.u.): 0.92
Symmetry: R-3m

Lattice parameters (Å, degrees): 8.5466 8.5466 8.5466 17.42 17.42 17.42
Fractional coordinates of all 4 atoms:
Cr (0.7500, 0.7500, 0.7500)
Cu (0.9981, 0.9981, 0.9981)
Cu (0.5019, 0.5019, 0.5019)
Si (0.2500, 0.2500, 0.2500)